[1]
# Sm2Be3GaIr4 | Alexandria | PBE-GGA | relaxed
# - VASP energy (eV for the cell shown) = -65.4
# - energy relative to the elements (meV per atom) = -635
data_Sm2Be3GaIr4
_symmetry_space_group_name_H-M 'P -4 m 2'
_symmetry_Int_Tables_number 115
_symmetry_space_group_name_Hall 'P -4 -2'
_cell_length_a 4.1079
_cell_length_b 4.1079
_cell_length_c 9.5969
_cell_angle_alpha 90.00
_cell_angle_beta 90.00
_cell_angle_gamma 90.00
loop_
_atom_site_label
_atom_site_fract_x
_atom_site_fract_y
_atom_site_fract_z
Sm1 0.0000 0.5000 0.2346
Be1 0.0000 0.5000 0.8892
Be2 0.5000 0.5000 0.5000
Ga1 0.0000 0.0000 0.5000
Ir1 0.0000 0.0000 0.0000
Ir2 0.0000 0.5000 0.6412
Ir3 0.5000 0.5000 0.0000

---

[2]
# BeGaSn2Ir | Alexandria | PBE-GGA | relaxed
# - VASP energy (eV for the cell shown) = -18.7
# - energy relative to the elements (meV per atom) = 978
data_BeGaSn2Ir
_symmetry_space_group_name_H-M 'P 4/m m m'
_symmetry_Int_Tables_number 123
_symmetry_space_group_name_Hall '-P 4 2'
_cell_length_a 5.1691
_cell_length_b 5.1691
_cell_length_c 4.0249
_cell_angle_alpha 90.00
_cell_angle_beta 90.00
_cell_angle_gamma 90.00
loop_
_atom_site_label
_atom_site_fract_x
_atom_site_fract_y
_atom_site_fract_z
Be1 0.0000 0.0000 0.0000
Ga1 0.0000 0.0000 0.5000
Sn1 0.0000 0.5000 0.5000
Ir1 0.5000 0.5000 0.0000

---

[3]
# Tb3BeGa2Ir3 | Alexandria | PBE-GGA | relaxed
# - VASP energy (eV for the cell shown) = -56.8
# - energy relative to the elements (meV per atom) = -726
data_Tb3BeGa2Ir3
_symmetry_space_group_name_H-M 'P -6 2 m'
_symmetry_Int_Tables_number 189
_symmetry_space_group_name_Hall 'P -6 -2'
_cell_length_a 7.1441
_cell_length_b 7.1441
_cell_length_c 3.6888
_cell_angle_alpha 90.00
_cell_angle_beta 90.00
_cell_angle_gamma 120.00
loop_
_atom_site_label
_atom_site_fract_x
_atom_site_fract_y
_atom_site_fract_z
Tb1 0.0000 0.3826 0.0000
Be1 0.0000 0.0000 0.0000
Ga1 0.3333 0.6667 0.5000
Ir1 0.0000 0.7691 0.5000

---

[4]
# Th2BeGa3Ir4 | Alexandria | PBE-GGA | relaxed
# - VASP energy (eV for the cell shown) = -70.0
# - energy relative to the elements (meV per atom) = -687
data_Th2BeGa3Ir4
_symmetry_space_group_name_H-M 'P -4 m 2'
_symmetry_Int_Tables_number 115
_symmetry_space_group_name_Hall 'P -4 -2'
_cell_length_a 4.2339
_cell_length_b 4.2339
_cell_length_c 10.1701
_cell_angle_alpha 90.00
_cell_angle_beta 90.00
_cell_angle_gamma 90.00
loop_
_atom_site_label
_atom_site_fract_x
_atom_site_fract_y
_atom_site_fract_z
Th1 0.0000 0.5000 0.2478
Be1 0.0000 0.0000 0.5000
Ga1 0.0000 0.5000 0.8692
Ga2 0.5000 0.5000 0.5000
Ir1 0.0000 0.0000 0.0000
Ir2 0.0000 0.5000 0.6255
Ir3 0.5000 0.5000 0.0000

---

What did the third record say?
# Tb3BeGa2Ir3 | Alexandria | PBE-GGA | relaxed
# - VASP energy (eV for the cell shown) = -56.8
# - energy relative to the elements (meV per atom) = -726
data_Tb3BeGa2Ir3
_symmetry_space_group_name_H-M 'P -6 2 m'
_symmetry_Int_Tables_number 189
_symmetry_space_group_name_Hall 'P -6 -2'
_cell_length_a 7.1441
_cell_length_b 7.1441
_cell_length_c 3.6888
_cell_angle_alpha 90.00
_cell_angle_beta 90.00
_cell_angle_gamma 120.00
loop_
_atom_site_label
_atom_site_fract_x
_atom_site_fract_y
_atom_site_fract_z
Tb1 0.0000 0.3826 0.0000
Be1 0.0000 0.0000 0.0000
Ga1 0.3333 0.6667 0.5000
Ir1 0.0000 0.7691 0.5000

---

What did the third record say?
# Tb3BeGa2Ir3 | Alexandria | PBE-GGA | relaxed
# - VASP energy (eV for the cell shown) = -56.8
# - energy relative to the elements (meV per atom) = -726
data_Tb3BeGa2Ir3
_symmetry_space_group_name_H-M 'P -6 2 m'
_symmetry_Int_Tables_number 189
_symmetry_space_group_name_Hall 'P -6 -2'
_cell_length_a 7.1441
_cell_length_b 7.1441
_cell_length_c 3.6888
_cell_angle_alpha 90.00
_cell_angle_beta 90.00
_cell_angle_gamma 120.00
loop_
_atom_site_label
_atom_site_fract_x
_atom_site_fract_y
_atom_site_fract_z
Tb1 0.0000 0.3826 0.0000
Be1 0.0000 0.0000 0.0000
Ga1 0.3333 0.6667 0.5000
Ir1 0.0000 0.7691 0.5000

---

- Look up the VASP energy of the second one.
  -18.7 eV for the cell shown

---

- What is the formula in the second record?
  BeGaSn2Ir